84
Lattice="-4.463 -5.605 2.172 3.291 -2.864 12.273 -8.963 5.196 7.893" Properties=species:S:1:pos:R:3 comment="Si6BiO14 (meta-GGA SCAN, single point on PBEsol structure)" e_form_raw_ev_per_fu=-56.473 crystal_system=orthorhombic e_tot_ev_per_cell=-1129.54 pbc="T T T"
Si -7.382 -0.269 13.620
Si -5.032 1.513 12.958
Si -4.958 -4.450 12.418
Si -5.460 -2.449 14.677
Si -3.114 -0.642 14.072
Si -1.766 -1.548 11.352
Si -7.498 0.361 17.737
Si -6.355 2.936 16.644
Si 0.316 -3.649 12.419
Si -4.631 -0.632 18.334
Si -7.954 -3.637 19.470
Si -2.112 -5.591 13.112
Si -8.024 2.318 9.226
Si -2.182 0.365 2.868
Si -5.505 -2.640 4.004
Si -10.451 0.376 9.919
Si -3.781 -6.208 5.694
Si -2.637 -3.633 4.601
Si -8.369 -1.725 10.986
Si -7.021 -2.630 8.267
Si -4.676 -0.824 7.661
Si -5.177 1.177 9.921
Si -5.103 -4.785 9.380
Si -2.754 -3.003 8.718
Bi -10.201 -0.745 15.825
Bi -5.003 -4.164 17.682
Bi -5.133 0.891 4.656
Bi 0.065 -2.527 6.513
O -9.258 -2.499 15.101
O -5.292 -4.164 10.867
O -1.356 -3.535 8.021
O -6.550 1.141 13.474
O -6.581 -1.271 14.603
O -2.551 -2.382 10.203
O -8.788 -0.540 17.390
O -5.449 -3.132 13.206
O -3.969 0.719 13.901
O -3.368 -4.689 12.630
O -2.376 -7.134 9.540
O -3.993 -1.743 14.918
O -7.376 1.650 16.723
O -1.329 -0.124 10.753
O -2.715 -1.305 12.645
O -6.097 -0.466 17.675
O -0.431 -2.351 11.796
O -0.760 -4.768 12.840
O -5.770 -3.558 15.803
O -9.297 -3.193 18.663
O 1.361 -4.269 11.361
O -2.068 -6.970 12.259
O -7.284 0.745 5.734
O -3.563 0.344 17.556
O -6.590 -3.220 18.721
O -1.831 -0.418 15.085
O 1.204 -3.238 13.700
O -7.904 2.620 7.636
O -2.232 -5.892 14.702
O -11.340 -0.035 8.638
O -8.304 -2.854 7.253
O -3.545 -0.052 3.618
O -6.573 -3.617 4.783
O -2.851 -4.017 16.604
O -8.068 3.697 10.079
O -11.497 0.997 10.977
O -0.839 -0.079 3.675
O -4.366 0.286 6.535
O -9.375 1.496 9.498
O -9.705 -0.922 10.542
O -4.038 -2.806 4.663
O -7.421 -1.968 9.693
O -8.806 -3.148 11.585
O -2.760 -4.923 5.615
O -6.143 -1.529 7.420
O -7.759 3.861 12.799
O -6.767 1.416 9.708
O -6.167 -3.991 8.437
O -4.687 -0.140 9.133
O -1.347 -2.733 4.948
O -7.585 -0.890 12.135
O -3.554 -2.001 7.735
O -3.586 -4.413 8.864
O -8.779 0.262 14.318
O -4.844 0.891 11.472
O -0.877 -0.774 7.238